First-principles (PBE) data for crystalline LaSmHoAg at its relaxed geometry, as listed in Alexandria via LeMat-Bulk.

Lattice parameters (Å, degrees): 3.6853 3.6853 8.7355 90.00 90.00 90.00
Closest atoms and distances in Å follow each position.
Fractional positions:
Ag 0.0000 0.0000 0.5611  4 Ho 3.11, 4 Sm 3.23
Sm 0.5000 0.5000 0.7795  4 Ag 3.23, 1 Ho 3.60
La 0.0000 0.0000 0.0765  4 Ho 3.64, 4 Sm 3.68, 4 La 3.69
Ho 0.5000 0.5000 0.3676  4 Ag 3.11

Results
Polymorph energy (0 for the lowest one): 0 meV per atom
DOS(E_F): 1.45 states/eV/atom
Total magnetic moment: 0.00 μB per atom
ΔE_f: -0.121 eV per atom

---

First-principles (PBE) data for crystalline LaSmHoAg at its relaxed geometry, as listed in Alexandria via LeMat-Bulk.

Lattice parameters (Å, degrees): 5.5044 5.5044 5.5044 60.00 60.00 60.00
Closest atoms and distances in Å follow each position.
Fractional positions:
La 0.7500 0.7500 0.7500  4 Ho 3.37, 4 Ag 3.37
Ho 0.0000 0.0000 0.0000  4 La 3.37, 4 Sm 3.37
Sm 0.2500 0.2500 0.2500  4 Ho 3.37, 4 Ag 3.37
Ag 0.5000 0.5000 0.5000  4 Sm 3.37, 4 La 3.37

Results
Polymorph energy (0 for the lowest one): 176 meV per atom
DOS(E_F): 0.92 states/eV/atom
Total magnetic moment: 0.00 μB per atom
ΔE_f: 0.055 eV per atom

---

First-principles (PBE) data for crystalline LaHoAgSn at its relaxed geometry, as listed in Alexandria via LeMat-Bulk.

Lattice parameters (Å, degrees): 5.3697 5.3697 5.3697 60.00 60.00 60.00
Closest atoms and distances in Å follow each position.
Fractional positions:
Ag 0.7500 0.7500 0.7500  4 Ho 3.29, 4 La 3.29
Sn 0.2500 0.2500 0.2500  4 La 3.29, 4 Ho 3.29
La 0.5000 0.5000 0.5000  4 Sn 3.29, 4 Ag 3.29
Ho 0.0000 0.0000 0.0000  4 Ag 3.29, 4 Sn 3.29

Results
DOS(E_F): 1.11 states/eV/atom
Total magnetic moment: 0.00 μB per atom
ΔE_f: -0.511 eV per atom

---

First-principles (PBE) data for crystalline LaHo2Ag2Sn2 at its relaxed geometry, as listed in Alexandria via LeMat-Bulk.

Lattice parameters (Å, degrees): 4.8964 4.8964 9.2442 74.64 74.64 60.00
Closest atoms and distances in Å follow each position.
Fractional positions:
Ho 0.1349 0.1349 0.5953  3 Ag 2.92
La 0.0000 0.0000 0.0000  6 Sn 3.41, 2 Ho 3.56
Ag 0.4407 0.4407 0.6779  3 Ho 2.92, 3 Sn 2.98, 1 Ag 3.13
Sn 0.7387 0.7387 0.7839  3 Ag 2.98, 3 Ho 3.28
Ho 0.8651 0.8651 0.4047  3 Ag 2.92
Sn 0.2613 0.2613 0.2161  3 Ag 2.98, 3 Ho 3.28
Ag 0.5593 0.5593 0.3221  3 Ho 2.92, 3 Sn 2.98, 1 Ag 3.13

Results
DOS(E_F): 0.49 states/eV/atom
Total magnetic moment: 0.00 μB per atom
ΔE_f: -0.477 eV per atom

---

First-principles (PBE) data for crystalline LaHoTcAg at its relaxed geometry, as listed in Alexandria via LeMat-Bulk.

Lattice parameters (Å, degrees): 5.0798 5.0798 5.0798 60.00 60.00 60.00
Closest atoms and distances in Å follow each position.
Fractional positions:
Tc 0.7500 0.7500 0.7500  4 La 3.11, 4 Ho 3.11
Ho 0.5000 0.5000 0.5000  4 Tc 3.11, 4 Ag 3.11
La 0.0000 0.0000 0.0000  4 Ag 3.11, 4 Tc 3.11
Ag 0.2500 0.2500 0.2500  4 La 3.11, 4 Ho 3.11

Results
DOS(E_F): 1.04 states/eV/atom
Total magnetic moment: 0.00 μB per atom
ΔE_f: -0.039 eV per atom

---

First-principles (PBE) data for crystalline LaHo2Tl2Ag2 at its relaxed geometry, as listed in Alexandria via LeMat-Bulk.

Lattice parameters (Å, degrees): 4.9386 4.9386 9.2921 74.59 74.59 60.00
Closest atoms and distances in Å follow each position.
Fractional positions:
Ag 0.5602 0.5602 0.3193  3 Ho 2.94, 3 Tl 2.99, 1 Ag 3.20
Ho 0.1339 0.1339 0.5982  3 Ag 2.94, 3 Tl 3.29
Tl 0.7391 0.7391 0.7828  3 Ag 2.99, 3 Ho 3.29
Ag 0.4398 0.4398 0.6807  3 Ho 2.94, 3 Tl 2.99, 1 Ag 3.20
La 0.0000 0.0000 0.0000  6 Tl 3.44, 2 Ho 3.55
Ho 0.8661 0.8661 0.4018  3 Ag 2.94, 3 Tl 3.29
Tl 0.2609 0.2609 0.2172  3 Ag 2.99, 3 Ho 3.29

Results
DOS(E_F): 1.05 states/eV/atom
Total magnetic moment: 0.00 μB per atom
ΔE_f: -0.223 eV per atom

---

First-principles (PBE) data for crystalline LaHoTmAg at its relaxed geometry, as listed in Alexandria via LeMat-Bulk.

Lattice parameters (Å, degrees): 5.4486 5.4486 5.4486 60.00 60.00 60.00
Closest atoms and distances in Å follow each position.
Fractional positions:
Ho 0.0000 0.0000 0.0000  4 Tm 3.34, 4 Ag 3.34
Tm 0.7500 0.7500 0.7500  4 Ho 3.34, 4 La 3.34
La 0.5000 0.5000 0.5000  4 Ag 3.34, 4 Tm 3.34
Ag 0.2500 0.2500 0.2500  4 La 3.34, 4 Ho 3.34

Results
Polymorph energy (0 for the lowest one): 184 meV per atom
DOS(E_F): 1.00 states/eV/atom
Total magnetic moment: 0.00 μB per atom
ΔE_f: 0.055 eV per atom

---

First-principles (PBE) data for crystalline LaHoTmAg at its relaxed geometry, as listed in Alexandria via LeMat-Bulk.

Lattice parameters (Å, degrees): 3.6293 3.6293 8.7158 90.00 90.00 90.00
Closest atoms and distances in Å follow each position.
Fractional positions:
La 0.0000 0.0000 0.0727  4 La 3.63, 4 Tm 3.64, 4 Ho 3.65
Ho 0.5000 0.5000 0.7747  4 Ag 3.14
Tm 0.5000 0.5000 0.3696  4 Ag 3.09
Ag 0.0000 0.0000 0.5677  4 Tm 3.09, 4 Ho 3.14

Results
Polymorph energy (0 for the lowest one): 0 meV per atom
DOS(E_F): 1.38 states/eV/atom
Total magnetic moment: 0.00 μB per atom
ΔE_f: -0.129 eV per atom

---

First-principles (PBE) data for crystalline LaYHoAg at its relaxed geometry, as listed in Alexandria via LeMat-Bulk.

Lattice parameters (Å, degrees): 3.6521 3.6521 8.7699 90.00 90.00 90.00
Closest atoms and distances in Å follow each position.
Fractional positions:
Ag 0.0000 0.0000 0.5672  4 Ho 3.12, 4 Y 3.16
La 0.0000 0.0000 0.0745  4 Ho 3.65, 4 La 3.65, 4 Y 3.68
Ho 0.5000 0.5000 0.3681  4 Ag 3.12
Y 0.5000 0.5000 0.7750  4 Ag 3.16

Results
DOS(E_F): 1.47 states/eV/atom
Total magnetic moment: 0.00 μB per atom
ΔE_f: -0.129 eV per atom

---

First-principles (PBE) data for crystalline LaHoZnAg at its relaxed geometry, as listed in Alexandria via LeMat-Bulk.

Lattice parameters (Å, degrees): 3.6601 3.6601 7.4859 90.00 90.00 90.00
Closest atoms and distances in Å follow each position.
Fractional positions:
Ag 0.5000 0.5000 0.1370  4 Ho 3.09, 1 Zn 3.33, 4 La 3.38
Ho 0.0000 0.0000 0.3617  4 Zn 3.07, 4 Ag 3.09
La 0.0000 0.0000 0.8467  4 Zn 3.26, 4 Ag 3.38, 1 Ho 3.63
Zn 0.5000 0.5000 0.5825  4 Ho 3.07, 4 La 3.26, 1 Ag 3.33

Results
Polymorph energy (0 for the lowest one): 0 meV per atom
DOS(E_F): 0.98 states/eV/atom
Total magnetic moment: 0.01 μB per atom
ΔE_f: -0.311 eV per atom

---

First-principles (PBE) data for crystalline LaHoZnAg at its relaxed geometry, as listed in Alexandria via LeMat-Bulk.

Lattice parameters (Å, degrees): 5.2347 5.2347 5.2347 60.00 60.00 60.00
Closest atoms and distances in Å follow each position.
Fractional positions:
La 0.5000 0.5000 0.5000  4 Ag 3.21, 4 Zn 3.21
Ho 0.0000 0.0000 0.0000  4 Zn 3.21, 4 Ag 3.21
Ag 0.2500 0.2500 0.2500  4 Ho 3.21, 4 La 3.21
Zn 0.7500 0.7500 0.7500  4 La 3.21, 4 Ho 3.21

Results
Polymorph energy (0 for the lowest one): 25 meV per atom
DOS(E_F): 0.66 states/eV/atom
Total magnetic moment: 0.00 μB per atom
ΔE_f: -0.286 eV per atom

---

First-principles (PBE) data for crystalline LiHoAg at its relaxed geometry, as listed in Alexandria via LeMat-Bulk.

Lattice parameters (Å, degrees): 7.3664 8.4908 8.4908 59.93 64.29 64.29
Closest atoms and distances in Å follow each position.
Fractional positions:
Li 0.7535 0.3820 0.3817  4 Ag 2.74-2.88, 2 Li 3.01
Ho 0.3347 0.2500 0.7500  5 Ag 3.06-3.08, 6 Li 3.31-3.42
Ag 0.7524 0.7502 0.2502  6 Li 2.74
Ag 0.4204 0.3332 0.3331  3 Li 2.87-2.88, 6 Ho 3.06
Ho 0.7538 0.4590 0.9590  5 Ag 3.06-3.08, 6 Li 3.31-3.41
Li 0.9890 0.5000 0.5000  4 Ag 2.74-2.88, 2 Li 3.01
Li 0.7535 0.8817 0.8820  4 Ag 2.74-2.88, 2 Li 3.01
Ho 0.1718 0.5410 0.0410  5 Ag 3.06-3.08, 6 Li 3.31-3.41
Ho 0.7538 0.9592 0.4592  5 Ag 3.06-3.08, 6 Li 3.31-3.42
Ho 0.1721 0.0408 0.5408  5 Ag 3.06-3.08, 6 Li 3.31-3.42
Ag 0.7528 0.2498 0.7498  6 Li 2.74
Ag 0.0866 0.1669 0.1668  3 Li 2.87-2.88, 6 Ho 3.06
Ag 0.4204 0.8331 0.8332  3 Li 2.87-2.88, 6 Ho 3.06
Li 0.5172 0.1183 0.1180  4 Ag 2.74-2.88, 2 Li 3.01
Ag 0.0866 0.6668 0.6669  3 Li 2.87-2.88, 6 Ho 3.06
Li 0.9890 0.0000 0.0000  4 Ag 2.74-2.88, 2 Li 3.01
Ho 0.3346 0.7500 0.2500  5 Ag 3.06-3.08, 6 Li 3.31-3.42
Li 0.5172 0.6180 0.6183  4 Ag 2.74-2.88, 2 Li 3.01

Results
Polymorph energy (0 for the lowest one): 0 meV per atom
DOS(E_F): 0.62 states/eV/atom
Total magnetic moment: 0.00 μB per atom
ΔE_f: -0.190 eV per atom

---

- Look up the DOS(E_F) of the eleventh one.
  0.66 states/eV/atom

---

- What is the formula in the fifth record?
  LaHoTcAg

---

What did the second record say?
First-principles (PBE) data for crystalline LaSmHoAg at its relaxed geometry, as listed in Alexandria via LeMat-Bulk.

Lattice parameters (Å, degrees): 5.5044 5.5044 5.5044 60.00 60.00 60.00
Closest atoms and distances in Å follow each position.
Fractional positions:
La 0.7500 0.7500 0.7500  4 Ho 3.37, 4 Ag 3.37
Ho 0.0000 0.0000 0.0000  4 La 3.37, 4 Sm 3.37
Sm 0.2500 0.2500 0.2500  4 Ho 3.37, 4 Ag 3.37
Ag 0.5000 0.5000 0.5000  4 Sm 3.37, 4 La 3.37

Results
Polymorph energy (0 for the lowest one): 176 meV per atom
DOS(E_F): 0.92 states/eV/atom
Total magnetic moment: 0.00 μB per atom
ΔE_f: 0.055 eV per atom